Record 1
A relaxed structure of BaAlSnPd2. Source: OQMD via LeMat-Bulk, functional PBE-GGA.

a = 4.650 Å, b = 4.650 Å, c = 10.822 Å
α = 90.00°, β = 90.00°, γ = 90.00°
Space group P4/nmm (No. 129, origin choice 2)
Inequivalent atoms, fractional coordinates:
Ba (0.250, 0.250, 0.247) [2 per cell]
Al (0.250, 0.750, 0.000) [2 per cell]
Sn (0.250, 0.250, 0.627) [2 per cell]
Pd (0.250, 0.250, 0.892) [2 per cell]
Pd (0.250, 0.750, 0.500) [2 per cell]

Output
- VASP energy: -46.9 eV/cell
- V: 23.40 A^3/atom

=====

Record 2
A relaxed structure of CuAu. Source: OQMD via LeMat-Bulk, functional PBE-GGA.

a = 4.0353 Å, b = 4.0353 Å, c = 6.5589 Å
α = 90.00°, β = 90.00°, γ = 120.00°
Space group P6_3mc (No. 186)
Inequivalent atoms, fractional coordinates:
Cu (0.3333, 0.6667, 0.0000) [2 per cell]
Au (0.3333, 0.6667, 0.6247) [2 per cell]

Output
- E_form: 0.6756 eV per atom
- V: 23.12 A^3/atom

=====

Record 3
A relaxed structure of PmSmBe. Source: OQMD via LeMat-Bulk, functional PBE-GGA.

a = 6.853 Å, b = 6.853 Å, c = 6.853 Å
α = 90.00°, β = 90.00°, γ = 90.00°
Space group F-43m (No. 216)
Inequivalent atoms, fractional coordinates:
Pm (0.000, 0.000, 0.000) [4 per cell]
Sm (0.250, 0.250, 0.750) [4 per cell]
Be (0.000, 0.000, 0.500) [4 per cell]

Output
- Distance to the lowest polymorph of the same formula: 0 kJ/mol of formula units
- V: 26.82 A^3/atom

=====

- V of number 2 (CuAu)?
  23.12 A^3/atom